A relaxed La2TiCu2 crystal. Source: Alexandria, functional GGA-PBE.

Cell lengths 7.0931, 7.0931, 4.6341 Å; angles 90.00, 90.00, 90.00 degrees
Space group P4/mbm (No. 127)
Inequivalent atoms, fractional coordinates:
La  0.1858  0.3142  0.0000
Ti  0.0000  0.0000  0.5000
Cu  0.1249  0.6249  0.5000

total magnetic moment	1.489	μB per formula unit
formation energy	6.3	kJ per mole of atoms